1.
# LiIn2Co PBE-GGA relaxed
data_LiIn2Co
_chemical_formula_sum 'Li1 In2 Co1'
_cell_length_a 8.8757
_cell_length_b 8.8757
_cell_length_c 8.8757
_cell_angle_alpha 20.52
_cell_angle_beta 20.52
_cell_angle_gamma 20.52
_space_group_name_H-M_alt 'P 1'
_space_group_IT_number 1
loop_
_space_group_symop_operation_xyz
'x,y,z'
loop_
_atom_site_label
_atom_site_type_symbol
_atom_site_fract_x
_atom_site_fract_y
_atom_site_fract_z
_atom_site_occupancy
In1 In 0.4914 0.4914 0.4914 1
In2 In 0.0086 0.0086 0.0086 1
Li1 Li 0.2500 0.2500 0.2500 1
Co1 Co 0.7500 0.7500 0.7500 1
# - Energy of formation from the pure elements: 0.13 eV per atom
# - Total magnetic moment: 0.35 Bohr magnetons per cell
# - VASP energy: -3.495 eV/atom
# - N(E_F): 3.1 states/eV/cell

***

2.
# Li2InCo PBE-GGA relaxed
data_Li2InCo
_chemical_formula_sum 'Li2 In1 Co1'
_cell_length_a 9.3018
_cell_length_b 9.3018
_cell_length_c 9.3018
_cell_angle_alpha 18.02
_cell_angle_beta 18.02
_cell_angle_gamma 18.02
_space_group_name_H-M_alt 'P 1'
_space_group_IT_number 1
loop_
_space_group_symop_operation_xyz
'x,y,z'
loop_
_atom_site_label
_atom_site_type_symbol
_atom_site_fract_x
_atom_site_fract_y
_atom_site_fract_z
_atom_site_occupancy
Co1 Co 0.2500 0.2500 0.2500 1
Li1 Li 0.5081 0.5081 0.5081 1
In1 In 0.7500 0.7500 0.7500 1
Li2 Li 0.9919 0.9919 0.9919 1
# - Energy of formation from the pure elements: 0.28 eV per atom
# - Total magnetic moment: 1.53 Bohr magnetons per cell
# - VASP energy: -3.138 eV/atom
# - N(E_F): 3.5 states/eV/cell

***

3.
# LiIn2Co PBE-GGA relaxed
data_LiIn2Co
_chemical_formula_sum 'Li2 In4 Co2'
_cell_length_a 4.2413
_cell_length_b 4.2413
_cell_length_c 9.6540
_cell_angle_alpha 77.31
_cell_angle_beta 77.31
_cell_angle_gamma 90.00
_space_group_name_H-M_alt 'P 1'
_space_group_IT_number 1
loop_
_space_group_symop_operation_xyz
'x,y,z'
loop_
_atom_site_label
_atom_site_type_symbol
_atom_site_fract_x
_atom_site_fract_y
_atom_site_fract_z
_atom_site_occupancy
Li1 Li 0.5000 0.5000 0.0000 1
In1 In 0.3750 0.3615 0.7500 1
Co1 Co 0.7500 0.2500 0.5000 1
In2 In 0.1115 0.6250 0.2500 1
In3 In 0.6385 0.1250 0.2500 1
In4 In 0.8750 0.8885 0.7500 1
Li2 Li 0.2500 0.7500 0.5000 1
Co2 Co 0.0000 0.0000 0.0000 1
# - Energy of formation from the pure elements: 0.36 eV per atom
# - Total magnetic moment: 2.85 Bohr magnetons per cell
# - VASP energy: -3.261 eV/atom
# - N(E_F): 9.5 states/eV/cell

***

4.
# LiIn2Co PBE-GGA relaxed
data_LiIn2Co
_chemical_formula_sum 'Li1 In2 Co1'
_cell_length_a 9.2613
_cell_length_b 9.2613
_cell_length_c 9.2613
_cell_angle_alpha 19.51
_cell_angle_beta 19.51
_cell_angle_gamma 19.51
_space_group_name_H-M_alt 'P 1'
_space_group_IT_number 1
loop_
_space_group_symop_operation_xyz
'x,y,z'
loop_
_atom_site_label
_atom_site_type_symbol
_atom_site_fract_x
_atom_site_fract_y
_atom_site_fract_z
_atom_site_occupancy
In1 In 0.2459 0.2459 0.2459 1
Co1 Co 0.7519 0.7519 0.7519 1
In2 In 0.0127 0.0127 0.0127 1
Li1 Li 0.4895 0.4895 0.4895 1
# - Energy of formation from the pure elements: 0.27 eV per atom
# - Total magnetic moment: 1.20 Bohr magnetons per cell
# - VASP energy: -3.350 eV/atom
# - N(E_F): 3.2 states/eV/cell